Entry 1:
A relaxed Li2Ta2Ga crystal, computed with PBE-GGA.

Computed properties:
Magnetization   0.00 Bohr magnetons per cell
ΔH_f (0 K)   0.59 eV per atom
Energy above the lowest structure with this stoichiometry   0.2817 eV/atom
Space-group type   I4/mmm

abc: 3.9085 3.9085 6.0345
angles: 71.10 71.10 90.00
Last column: nearest neighbours and their distance in Å.
Sites, in units of the cell vectors:
Ta  0.7500  0.2500  0.5000  4 Li 2.65, 4 Ta 2.76
Ta  0.2500  0.7500  0.5000  4 Li 2.65, 4 Ta 2.76
Li  0.5830  0.5830  0.8340  1 Li 1.78
Li  0.4170  0.4170  0.1660  1 Li 1.78
Ga  0.0000  0.0000  0.0000  8 Li 2.90

Entry 2:
A relaxed Sr4TaBe crystal, computed with PBE-GGA.

Computed properties:
Magnetization   4.79 Bohr magnetons per cell
ΔH_f (0 K)   1.43 eV per atom
Space-group type   F-43m

abc: 6.7795 6.7795 6.7795
angles: 60.00 60.00 60.00
Last column: nearest neighbours and their distance in Å.
Sites, in units of the cell vectors:
Sr  0.3754  0.3754  0.8737  6 Sr 3.38-3.40
Sr  0.3754  0.3754  0.3754  6 Sr 3.38-3.40
Sr  0.8737  0.3754  0.3754  6 Sr 3.38-3.40
Sr  0.3754  0.8737  0.3754  6 Sr 3.38-3.40
Be  0.0000  0.0000  0.0000  12 Sr 3.98, 4 Ta 4.15
Ta  0.7500  0.7500  0.7500  12 Sr 3.97, 4 Be 4.15

Entry 3:
A relaxed LiCu6OF11 crystal, computed with PBE-GGA.

Computed properties:
Magnetization   4.05 Bohr magnetons per cell
Energy above the lowest structure with this stoichiometry   0.0423 eV/atom
Uncorrected formation energy   -2724 kJ/mol of formula units
Space-group type   P1

abc: 4.6709 5.4094 9.3173
angles: 89.42 87.83 89.34
Last column: nearest neighbours and their distance in Å.
Sites, in units of the cell vectors:
F  0.8076  0.2912  0.9262  2 Cu 1.96-1.98
F  0.2438  0.8820  0.3814  1 Li 1.85, 2 Cu 2.01-2.05
F  0.1938  0.6989  0.0786  2 Cu 1.96-1.97
F  0.7563  0.9413  0.2311  2 Cu 1.92-1.94
F  0.2122  0.0384  0.7715  2 Cu 1.96-1.98
F  0.3258  0.5447  0.7234  1 Li 1.95, 2 Cu 1.96-2.01
F  0.1718  0.3930  0.3968  1 Li 1.92, 2 Cu 1.97-1.99
F  0.7181  0.1310  0.6123  2 Cu 1.90-1.91
F  0.8374  0.6321  0.6077  1 Li 1.95, 2 Cu 1.99-2.00
F  0.7105  0.7886  0.9214  3 Cu 1.96-2.12
F  0.2842  0.1963  0.0840  2 Cu 1.89-2.10
Cu  0.0061  0.9956  0.0017  4 F 1.89-1.98
Cu  0.4667  0.1723  0.3045  1 O 1.87, 3 F 1.94-2.01
Cu  0.5468  0.5029  0.0421  1 O 1.91, 4 F 1.96-2.10
Cu  0.5595  0.8535  0.7129  5 F 1.90-2.12
Cu  0.9952  0.3295  0.7024  4 F 1.91-2.00
Cu  0.9572  0.6489  0.2926  1 O 1.85, 3 F 1.92-2.05
O  0.6708  0.4443  0.2331  3 Cu 1.85-1.91
Li  0.2306  0.6531  0.5310  4 F 1.85-1.95

Entry 4:
A relaxed NdRe4B2 crystal, computed with PBE-GGA.

Computed properties:
Magnetization   0.00 Bohr magnetons per cell
ΔH_f (0 K)   -0.08 eV per atom
Space-group type   Cmmm

abc: 4.0574 4.0954 7.0971
angles: 106.77 90.00 90.00
Last column: nearest neighbours and their distance in Å.
Sites, in units of the cell vectors:
Re  0.5000  0.1805  0.3610  2 B 2.19
Re  0.5000  0.8195  0.6390  2 B 2.19
Re  0.0000  0.6934  0.3867  2 B 2.24
Re  0.0000  0.3066  0.6133  2 B 2.24
Nd  0.0000  0.0000  0.0000  8 Re 3.18-3.33, 8 B 3.34
B  0.5000  0.3758  0.7515  4 Re 2.19-2.24
B  0.5000  0.6242  0.2485  4 Re 2.19-2.24

Entry 5:
A relaxed MgScSb crystal, computed with PBE-GGA.

Computed properties:
Magnetization   0.00 Bohr magnetons per cell
Energy above the lowest structure with this stoichiometry   0.2436 eV/atom
Uncorrected formation energy   -91 kJ/mol of formula units
Space-group type   P3m1

abc: 4.6138 4.6138 3.8128
angles: 90.00 90.00 120.00
Last column: nearest neighbours and their distance in Å.
Sites, in units of the cell vectors:
Mg  0.0000  0.0000  0.0944  3 Sb 2.72
Sc  0.3333  0.6667  0.6668  6 Mg 3.12-3.44, 6 Sb 3.12-3.44
Sb  0.6667  0.3333  0.2387  3 Mg 2.72

Entry 6:
A relaxed Cs6Rb8Ba crystal, computed with PBE-GGA.

Computed properties:
Magnetization   0.00 Bohr magnetons per cell
ΔH_f (0 K)   0.07 eV per atom
Space-group type   P-3

abc: 9.6466 13.3891 13.3891
angles: 120.00 90.00 90.00
Last column: nearest neighbours and their distance in Å.
Sites, in units of the cell vectors:
Cs  0.3454  0.3349  0.9041  4 Rb 4.76-5.19, 1 Cs 4.87
Cs  0.3454  0.0959  0.4308  4 Rb 4.76-5.19, 1 Cs 4.87
Cs  0.6546  0.9041  0.5692  4 Rb 4.76-5.19, 1 Cs 4.87
Cs  0.6546  0.4308  0.3349  4 Rb 4.76-5.19, 1 Cs 4.87
Cs  0.3454  0.5692  0.6651  4 Rb 4.76-5.19, 1 Cs 4.87
Cs  0.6546  0.6651  0.0959  4 Rb 4.76-5.19, 1 Cs 4.87
Rb  0.1592  0.2788  0.2333  3 Rb 4.63-4.68, 4 Cs 4.76-5.19, 1 Ba 4.78
Rb  0.8680  0.3333  0.6667  3 Rb 4.68
Rb  0.1592  0.9545  0.7212  3 Rb 4.63-4.68, 4 Cs 4.76-5.19, 1 Ba 4.78
Rb  0.8408  0.0455  0.2788  3 Rb 4.63-4.68, 4 Cs 4.76-5.19, 1 Ba 4.78
Rb  0.8408  0.2333  0.9545  3 Rb 4.63-4.68, 4 Cs 4.76-5.19, 1 Ba 4.78
Rb  0.8408  0.7212  0.7667  3 Rb 4.63-4.68, 4 Cs 4.76-5.19, 1 Ba 4.78
Rb  0.1320  0.6667  0.3333  3 Rb 4.68
Rb  0.1592  0.7667  0.0455  3 Rb 4.63-4.68, 4 Cs 4.76-5.19, 1 Ba 4.78
Ba  0.5000  0.0000  0.0000  6 Rb 4.78

Entry 7:
A relaxed ScNbCr2Co crystal, computed with PBE-GGA.

Computed properties:
Magnetization   3.89 Bohr magnetons per cell
ΔH_f (0 K)   0.73 eV per atom
Space-group type   P4/mmm

abc: 4.4353 4.5941 4.4353
angles: 90.00 90.00 90.00
Last column: nearest neighbours and their distance in Å.
Sites, in units of the cell vectors:
Nb  0.0000  0.5000  0.0000  2 Co 2.30
Cr  0.0000  0.0000  0.5000  2 Co 2.22
Cr  0.5000  0.0000  0.0000  2 Co 2.22
Co  0.0000  0.0000  0.0000  4 Cr 2.22, 2 Nb 2.30
Sc  0.5000  0.5000  0.5000  4 Nb 3.14, 8 Cr 3.19